Record 1
Material: La9Pm4Hg11
Method: DFT, PBE
State: relaxed

abc: 3.707 14.326 14.326
angles: 111.86 90.00 90.00
Sites, in units of the cell vectors:
1 La 0.500 0.147 0.628
2 La 0.500 0.853 0.372
3 La 0.500 0.628 0.147
4 La 0.500 0.208 0.041
5 La 0.500 0.959 0.792
6 La 0.500 0.041 0.208
7 La 0.500 0.792 0.959
8 La 0.500 0.372 0.853
9 La 0.500 0.500 0.500
10 Hg 0.000 0.414 0.057
11 Hg 0.000 0.000 0.000
12 Hg 0.000 0.264 0.264
13 Hg 0.000 0.586 0.943
14 Hg 0.000 0.736 0.736
15 Hg 0.000 0.057 0.414
16 Hg 0.000 0.943 0.586
17 Hg 0.000 0.364 0.636
18 Hg 0.000 0.167 0.833
19 Hg 0.000 0.636 0.364
20 Hg 0.000 0.833 0.167
21 Pm 0.500 0.442 0.254
22 Pm 0.500 0.254 0.442
23 Pm 0.500 0.558 0.746
24 Pm 0.500 0.746 0.558

Results
For the total energy, the calculation gives -0.2346 Ry/atom.


Record 2
Material: La2Pm8Hg
Method: DFT, PBE
State: relaxed

abc: 5.656 7.755 9.420
angles: 108.39 107.47 90.00
Sites, in units of the cell vectors:
1 Pm 0.183 0.236 0.366
2 Pm 0.663 0.937 0.327
3 Pm 0.600 0.428 0.199
4 Pm 0.337 0.063 0.673
5 Pm 0.400 0.572 0.801
6 Pm 0.016 0.772 0.031
7 Pm 0.984 0.228 0.969
8 Pm 0.817 0.764 0.634
9 La 0.184 0.666 0.368
10 La 0.816 0.334 0.632
11 Hg 0.500 0.000 0.000

Results
For the total energy, the calculation gives -0.3204 Ry/atom.